No. 1
The following is a PBE calculation of a relaxed structure of Pm2PaGa, from Alexandria via LeMat-Bulk.

Summary:
space group = R-3m, No. 166
DOS at the Fermi energy = 4.82 states/eV/f.u.

Cell lengths 3.3250, 3.3250, 11.6208 Å; angles 81.77, 81.77, 60.00 degrees
With the nearest neighbours (Å) after each atom.
Element x y z (fractional)
Pm: 0.0959 0.0959 0.7123  3 Ga 3.10, 1 Pa 3.30, 6 Pm 3.32
Pm: 0.9041 0.9041 0.2877  3 Ga 3.10, 1 Pa 3.30, 6 Pm 3.32
Pa: 0.0000 0.0000 0.0000  2 Pm 3.30, 6 Pa 3.32
Ga: 0.5000 0.5000 0.5000  6 Pm 3.10, 6 Ga 3.32

***

No. 2
The following is a PBE calculation of a relaxed structure of PmPaGa6, from Alexandria via LeMat-Bulk.

Summary:
space group = P-6m2, No. 187
DOS at the Fermi energy = 4.48 states/eV/f.u.

Cell lengths 4.5736, 6.3346, 6.3346 Å; angles 119.98, 90.00, 90.00 degrees
With the nearest neighbours (Å) after each atom.
Element x y z (fractional)
Ga: 0.5000 0.8969 0.5441  6 Ga 2.79-2.80, 2 Pa 3.07
Ga: 0.0000 0.6039 0.9577  6 Ga 2.78-2.80, 2 Pm 3.07
Ga: 0.0000 0.6037 0.3963  6 Ga 2.78-2.80, 2 Pm 3.07
Ga: 0.5000 0.4559 0.1031  6 Ga 2.79-2.80, 2 Pa 3.07
Ga: 0.5000 0.8971 0.1029  6 Ga 2.80, 2 Pa 3.07
Ga: 0.0000 0.0423 0.3961  6 Ga 2.78-2.80, 2 Pm 3.07
Pm: 0.5000 0.4165 0.5835  12 Ga 3.07-3.18
Pa: 0.0000 0.0834 0.9166  12 Ga 3.07-3.18

***

No. 3
The following is a PBE calculation of a relaxed structure of Pm2PaGa, from Alexandria via LeMat-Bulk.

Summary:
space group = Fm-3m, No. 225
DOS at the Fermi energy = 5.69 states/eV/f.u.

Cell lengths 5.3136, 5.3136, 5.3136 Å; angles 60.00, 60.00, 60.00 degrees
With the nearest neighbours (Å) after each atom.
Element x y z (fractional)
Pm: 0.2500 0.2500 0.2500  4 Ga 3.25, 4 Pa 3.25
Pm: 0.7500 0.7500 0.7500  4 Ga 3.25, 4 Pa 3.25
Pa: 0.0000 0.0000 0.0000  8 Pm 3.25
Ga: 0.5000 0.5000 0.5000  8 Pm 3.25

***

No. 4
The following is a PBE calculation of a relaxed structure of Pm2PaGa3Pt4, from Alexandria via LeMat-Bulk.

Summary:
space group = P-4m2, No. 115
DOS at the Fermi energy = 7.58 states/eV/f.u.

Cell lengths 4.3657, 4.3657, 11.0061 Å; angles 90.00, 90.00, 90.00 degrees
With the nearest neighbours (Å) after each atom.
Element x y z (fractional)
Pm: 0.0000 0.5000 0.7773  8 Pt 3.28-3.38, 4 Ga 3.28
Pm: 0.5000 0.0000 0.2227  8 Pt 3.28-3.38, 4 Ga 3.28
Pt: 0.5000 0.5000 0.0000  4 Ga 2.56
Pt: 0.0000 0.0000 0.0000  4 Ga 2.56
Pt: 0.5000 0.0000 0.6524  3 Ga 2.49-2.75, 2 Pa 2.75
Pt: 0.0000 0.5000 0.3476  3 Ga 2.49-2.75, 2 Pa 2.75
Ga: 0.5000 0.0000 0.8787  5 Pt 2.49-2.56
Ga: 0.0000 0.5000 0.1213  5 Pt 2.49-2.56
Ga: 0.0000 0.0000 0.5000  4 Pt 2.75
Pa: 0.5000 0.5000 0.5000  4 Pt 2.75

***

No. 5
The following is a PBE calculation of a relaxed structure of PmPaGaRe, from Alexandria via LeMat-Bulk.

Summary:
space group = F-43m, No. 216
DOS at the Fermi energy = 2.74 states/eV/f.u.

Cell lengths 5.0128, 5.0128, 5.0128 Å; angles 60.00, 60.00, 60.00 degrees
With the nearest neighbours (Å) after each atom.
Element x y z (fractional)
Re: 0.7500 0.7500 0.7500  4 Pa 3.07, 4 Pm 3.07
Pa: 0.0000 0.0000 0.0000  4 Re 3.07, 4 Ga 3.07
Ga: 0.2500 0.2500 0.2500  4 Pa 3.07, 4 Pm 3.07
Pm: 0.5000 0.5000 0.5000  4 Re 3.07, 4 Ga 3.07

***

No. 6
The following is a PBE calculation of a relaxed structure of PmPaGaSb, from Alexandria via LeMat-Bulk.

Summary:
raw formation energy = -0.35 eV per atom
space group = F-43m, No. 216
DOS at the Fermi energy = 7.56 states/eV/f.u.

Cell lengths 5.2644, 5.2644, 5.2644 Å; angles 60.00, 60.00, 60.00 degrees
With the nearest neighbours (Å) after each atom.
Element x y z (fractional)
Ga: 0.2500 0.2500 0.2500  4 Pa 3.22, 4 Pm 3.22
Pm: 0.5000 0.5000 0.5000  4 Ga 3.22, 4 Sb 3.22
Sb: 0.7500 0.7500 0.7500  4 Pm 3.22, 4 Pa 3.22
Pa: 0.0000 0.0000 0.0000  4 Sb 3.22, 4 Ga 3.22

***

No. 7
The following is a PBE calculation of a relaxed structure of PmPaGaSi, from Alexandria via LeMat-Bulk.

Summary:
raw formation energy = -0.25 eV per atom
space group = F-43m, No. 216
DOS at the Fermi energy = 7.30 states/eV/f.u.

Cell lengths 5.0648, 5.0648, 5.0648 Å; angles 60.00, 60.00, 60.00 degrees
With the nearest neighbours (Å) after each atom.
Element x y z (fractional)
Pa: 0.2500 0.2500 0.2500  4 Ga 3.10, 4 Si 3.10
Si: 0.5000 0.5000 0.5000  4 Pa 3.10, 4 Pm 3.10
Ga: 0.0000 0.0000 0.0000  4 Pm 3.10, 4 Pa 3.10
Pm: 0.7500 0.7500 0.7500  4 Si 3.10, 4 Ga 3.10

***

No. 8
The following is a PBE calculation of a relaxed structure of PmThPaGa, from Alexandria via LeMat-Bulk.

Summary:
space group = F-43m, No. 216
DOS at the Fermi energy = 7.76 states/eV/f.u.

Cell lengths 5.3245, 5.3245, 5.3245 Å; angles 60.00, 60.00, 60.00 degrees
With the nearest neighbours (Å) after each atom.
Element x y z (fractional)
Th: 0.2500 0.2500 0.2500  4 Pa 3.26, 4 Ga 3.26
Pm: 0.7500 0.7500 0.7500  4 Ga 3.26, 4 Pa 3.26
Ga: 0.5000 0.5000 0.5000  4 Th 3.26, 4 Pm 3.26
Pa: 0.0000 0.0000 0.0000  4 Pm 3.26, 4 Th 3.26

***

No. 9
The following is a PBE calculation of a relaxed structure of PmPaTlGa, from Alexandria via LeMat-Bulk.

Summary:
space group = F-43m, No. 216
DOS at the Fermi energy = 8.32 states/eV/f.u.

Cell lengths 5.2935, 5.2935, 5.2935 Å; angles 60.00, 60.00, 60.00 degrees
With the nearest neighbours (Å) after each atom.
Element x y z (fractional)
Pa: 0.7500 0.7500 0.7500  4 Ga 3.24, 4 Tl 3.24
Pm: 0.2500 0.2500 0.2500  4 Tl 3.24, 4 Ga 3.24
Ga: 0.0000 0.0000 0.0000  4 Pa 3.24, 4 Pm 3.24
Tl: 0.5000 0.5000 0.5000  4 Pa 3.24, 4 Pm 3.24

***

No. 10
The following is a PBE calculation of a relaxed structure of PrPaGa, from Alexandria via LeMat-Bulk.

Summary:
space group = P4/nmm, No. 129
DOS at the Fermi energy = 4.87 states/eV/f.u.

Cell lengths 4.3407, 4.3407, 8.5076 Å; angles 90.00, 90.00, 90.00 degrees
With the nearest neighbours (Å) after each atom.
Element x y z (fractional)
Pr: 0.5000 0.0000 0.6382  5 Ga 3.20-3.26
Pr: 0.0000 0.5000 0.3618  5 Ga 3.20-3.26
Ga: 0.5000 0.0000 0.2555  4 Pa 3.07, 5 Pr 3.20-3.26
Ga: 0.0000 0.5000 0.7445  4 Pa 3.07, 5 Pr 3.20-3.26
Pa: 0.5000 0.5000 0.0000  4 Pa 3.07, 4 Ga 3.07
Pa: 0.0000 0.0000 0.0000  4 Pa 3.07, 4 Ga 3.07

***

No. 11
The following is a PBE calculation of a relaxed structure of PrPa2Ga9, from Alexandria via LeMat-Bulk.

Summary:
space group = P4/mmm, No. 123
DOS at the Fermi energy = 12.92 states/eV/f.u.

Cell lengths 4.3360, 4.3360, 12.9795 Å; angles 90.00, 90.00, 90.00 degrees
With the nearest neighbours (Å) after each atom.
Element x y z (fractional)
Ga: 0.5000 0.5000 0.0000  4 Pr 3.07, 8 Ga 3.11
Ga: 0.0000 0.5000 0.8280  2 Pa 3.04, 8 Ga 3.05-3.11, 2 Pr 3.11
Ga: 0.0000 0.5000 0.1720  2 Pa 3.04, 8 Ga 3.05-3.11, 2 Pr 3.11
Ga: 0.5000 0.5000 0.3368  8 Ga 3.03-3.05, 4 Pa 3.07
Ga: 0.5000 0.0000 0.5000  8 Ga 3.03-3.07, 4 Pa 3.04
Ga: 0.5000 0.0000 0.8280  2 Pa 3.04, 8 Ga 3.05-3.11, 2 Pr 3.11
Ga: 0.5000 0.5000 0.6632  8 Ga 3.03-3.05, 4 Pa 3.07
Ga: 0.0000 0.5000 0.5000  8 Ga 3.03-3.07, 4 Pa 3.04
Ga: 0.5000 0.0000 0.1720  2 Pa 3.04, 8 Ga 3.05-3.11, 2 Pr 3.11
Pa: 0.0000 0.0000 0.6638  12 Ga 3.04-3.07
Pa: 0.0000 0.0000 0.3362  12 Ga 3.04-3.07
Pr: 0.0000 0.0000 0.0000  12 Ga 3.07-3.11

***

No. 12
The following is a PBE calculation of a relaxed structure of PrPaGa, from Alexandria via LeMat-Bulk.

Summary:
space group = I4mm, No. 107
DOS at the Fermi energy = 5.42 states/eV/f.u.

Cell lengths 3.2988, 3.2988, 7.4594 Å; angles 102.77, 102.77, 90.00 degrees
With the nearest neighbours (Å) after each atom.
Element x y z (fractional)
Pa: 0.3147 0.3147 0.6293  4 Ga 3.09, 4 Pa 3.30
Pr: 0.0135 0.0135 0.0270  4 Ga 3.24, 4 Pr 3.30
Ga: 0.6718 0.6718 0.3437  4 Pa 3.09, 4 Pr 3.24, 4 Ga 3.30

***

For the records above, the corresponding E_tot values read -5.3586 -4.5174 -5.3455 -6.1176 -7.4133 -5.6979 -5.9249 -6.0408 -4.9669 -6.0379 -4.6688 -5.8259 eV per atom.